Material: Ba2ZnAsO
Method: DFT, PBE
State: optimized geometry

Lattice parameters (Å, degrees): 4.216 7.036 9.409 109.81 90.00 90.00
Fractional coordinates of all 10 atoms:
Ba (0.250, 0.217, 0.971)
Ba (0.250, 0.201, 0.386)
Ba (0.750, 0.799, 0.614)
Ba (0.750, 0.783, 0.029)
O (0.750, 0.178, 0.155)
O (0.250, 0.822, 0.845)
As (0.250, 0.676, 0.291)
As (0.750, 0.324, 0.709)
Zn (0.250, 0.522, 0.736)
Zn (0.750, 0.478, 0.264)

## Properties
* volume: 262.6 Å³ per cell
* total magnetization: 0.000 μB per formula unit
* crystal system: monoclinic
* raw total energy: -4.29 eV/atom
* symmetry: P2_1/m (11)


Material: CrSbRh
Method: DFT, PBE
State: optimized geometry

Lattice parameters (Å, degrees): 3.205 3.205 6.107 90.00 90.00 120.00
Fractional coordinates of all 3 atoms:
Sb (0.333, 0.667, 0.653)
Rh (0.667, 0.333, 0.333)
Cr (0.000, 0.000, 0.014)

## Properties
* volume: 54.3 Å³ per cell
* total magnetization: 3.790 μB per formula unit
* crystal system: trigonal
* raw total energy: -6.75 eV/atom
* symmetry: P3m1 (156)


Material: NaLiIn2I8
Method: DFT, PBE
State: optimized geometry

Lattice parameters (Å, degrees): 11.480 11.480 11.480 96.14 96.14 141.81
Fractional coordinates of all 12 atoms:
I (0.877, 0.740, 0.137)
I (0.260, 0.397, 0.137)
I (0.260, 0.123, 0.863)
I (0.680, 0.034, 0.646)
I (0.966, 0.612, 0.646)
I (0.388, 0.034, 0.354)
I (0.966, 0.320, 0.354)
I (0.603, 0.740, 0.863)
Na (0.250, 0.750, 0.500)
Li (0.000, 0.000, 0.000)
In (0.750, 0.250, 0.500)
In (0.500, 0.500, 0.000)

## Properties
* volume: 883.9 Å³ per cell
* total magnetization: 0.000 μB per formula unit
* crystal system: tetragonal
* raw total energy: -2.50 eV/atom
* symmetry: I-4m2 (119)


Material: AgPd2Au7
Method: DFT, PBE
State: optimized geometry

Lattice parameters (Å, degrees): 4.491 7.724 7.724 122.52 90.00 90.00
Fractional coordinates of all 10 atoms:
Au (0.000, 0.800, 0.200)
Au (0.500, 0.293, 0.077)
Au (0.500, 0.500, 0.500)
Au (0.500, 0.077, 0.293)
Au (0.500, 0.923, 0.707)
Au (0.500, 0.707, 0.923)
Au (0.000, 0.200, 0.800)
Pd (0.500, 0.298, 0.702)
Pd (0.500, 0.702, 0.298)
Ag (0.000, 0.000, 0.000)

## Properties
* volume: 225.9 Å³ per cell
* total magnetization: 0.000 μB per formula unit
* formation energy from the elements: 0.276 eV/atom
* crystal system: orthorhombic
* raw total energy: -3.34 eV/atom
* symmetry: Cmmm (65)


Material: YSc2Se
Method: DFT, PBE
State: optimized geometry

Lattice parameters (Å, degrees): 3.436 3.436 8.914 90.00 90.00 108.48
Fractional coordinates of all 4 atoms:
Sc (0.000, 0.000, 0.011)
Sc (0.500, 0.500, 0.286)
Se (0.000, 0.000, 0.487)
Y (0.500, 0.500, 0.715)

## Properties
* volume: 99.8 Å³ per cell
* total magnetization: 0.000 μB per formula unit
* crystal system: orthorhombic
* raw total energy: -6.27 eV/atom
* symmetry: Cmm2 (35)